*one*
A geometry-optimized SmPaPO structure, computed with PBE.

Results
V: 20.6 Å³ per atom

Cell: 4.217 4.217 9.279 Å, 90.00 90.00 90.00°
Atoms (fractional coordinates):
Sm1 0.250 0.250 0.111
Sm2 0.750 0.750 0.889
Pa1 0.250 0.750 0.500
Pa2 0.750 0.250 0.500
P1 0.250 0.250 0.711
P2 0.750 0.750 0.289
O1 0.250 0.750 0.000
O2 0.750 0.250 0.000

*two*
A geometry-optimized SmPaPO structure, computed with PBE.

Results
V: 23.3 Å³ per atom

Cell: 4.193 7.935 5.602 Å, 90.00 90.00 90.00°
Atoms (fractional coordinates):
Sm1 0.000 0.204 0.000
Sm2 0.000 0.796 0.500
Pa1 0.500 0.376 0.501
Pa2 0.500 0.624 0.001
P1 0.000 0.151 0.499
P2 0.000 0.849 0.999
O1 0.500 0.333 0.998
O2 0.500 0.667 0.498

Most stable: *two* (next structure +4.4 kJ/mol of atoms)